(1)
This record from the Alexandria database describes a relaxed In2TeAs crystal. The functional is PBE.

```
4
Lattice="4.657 0.000 0.000 0.000 4.657 0.000 0.000 0.000 6.658" Properties=species:S:1:pos:R:3 pbc="T T T"
As 2.328 2.328 0.000
Te 0.000 0.000 3.329
In 2.328 0.000 5.210
In 0.000 2.328 1.448
```

SG = P-4m2, No. 115
Energy relative to the elements, uncorrected = -0.149 eV per atom
Relative energy among the computed polymorphs = 0.017 eV per atom
Calculated volume = 36.10 A^3/atom
E = -3.466 eV per atom

***

(2)
This record from the Alexandria database describes a relaxed TlCo2As crystal. The functional is PBE.

```
4
Lattice="-1.433 -1.962 2.292 1.390 -2.837 -1.559 5.267 0.516 3.735" Properties=species:S:1:pos:R:3 pbc="T T T"
As 4.991 -3.026 2.963
Co 1.767 -2.428 -0.973
Co 0.305 -1.996 0.916
Tl 2.880 -0.828 1.092
```

Formation enthalpy at 0 K = 270 meV/atom
SG = Pm, No. 6
Relative energy among the computed polymorphs = 0.111 eV per atom
Calculated volume = 19.05 A^3/atom
E = -5.037 eV per atom

***

(3)
This record from the Alexandria database describes a relaxed HgHS2Cl crystal. The functional is PBE.

```
5
Lattice="3.787 0.000 0.000 0.000 3.787 0.000 0.000 0.000 6.941" Properties=species:S:1:pos:R:3 pbc="T T T"
H 0.000 0.000 0.000
S 0.000 1.894 0.000
S 1.894 0.000 0.000
Hg 1.894 1.894 3.471
Cl 0.000 0.000 3.471
```

SG = P4/mmm, No. 123
Relative energy among the computed polymorphs = 0.000 eV per atom
Calculated volume = 19.91 A^3/atom
E = -2.322 eV per atom

***

(4)
This record from the Alexandria database describes a relaxed Nd4Er8Tm crystal. The functional is PBE.

```
13
Lattice="-1.264 2.306 -10.669 10.084 -0.771 4.297 -2.446 -5.653 4.726" Properties=species:S:1:pos:R:3 pbc="T T T"
Nd 0.000 0.000 0.000
Nd 5.042 -0.386 2.149
Nd 4.410 0.768 -3.186
Nd -0.632 1.153 -5.334
Er 6.321 -0.962 -0.957
Er 0.052 -3.156 -0.688
Er 1.231 -0.430 -2.967
Er 0.574 -4.483 4.621
Er 5.142 -3.688 1.321
Er 5.797 -4.882 6.847
Er 0.577 0.765 -8.492
Er 5.799 0.366 -6.267
Tm 3.819 -3.212 4.512
```

Formation enthalpy at 0 K = 522 meV/atom
SG = R-3m, No. 166
Calculated volume = 36.00 A^3/atom
E = -4.097 eV per atom

***

(5)
This record from the Alexandria database describes a relaxed Fe3BH crystal. The functional is PBE.

```
5
Lattice="-1.308 1.978 2.555 0.962 -2.393 2.345 3.085 1.585 0.352" Properties=species:S:1:pos:R:3 pbc="T T T"
H 0.000 0.000 0.000
B 1.369 0.585 2.626
Fe 0.481 -1.196 1.173
Fe 1.542 0.792 0.176
Fe -0.654 0.989 1.277
```

SG = Pm-3m, No. 221
Relative energy among the computed polymorphs = 0.000 eV per atom
Calculated volume = 8.47 A^3/atom
E = -6.918 eV per atom

***

(6)
This record from the Alexandria database describes a relaxed BaSiRu3 crystal. The functional is PBE.

```
5
Lattice="-3.765 -1.734 -2.830 1.960 -4.616 0.220 -2.678 -0.940 4.139" Properties=species:S:1:pos:R:3 pbc="T T T"
Ru 0.980 -2.308 0.110
Ru -1.339 -0.470 2.070
Ru -1.883 -0.867 -1.415
Si -2.242 -3.645 0.765
Ba 0.000 0.000 0.000
```

SG = Pm-3m, No. 221
Energy relative to the elements, uncorrected = 2.811 eV per atom
Relative energy among the computed polymorphs = 2.347 eV per atom
Calculated volume = 25.29 A^3/atom
E = -4.223 eV per atom